! MgInP2 PBE optimized geometry; values from VASP
&SYSTEM
  ibrav = 0, nat = 4, ntyp = 3
/
ATOMIC_SPECIES
P 30.97 P.upf
In 114.82 In.upf
Mg 24.30 Mg.upf
CELL_PARAMETERS angstrom
-1.963 -2.327 -3.508
3.604 -2.772 0.947
-1.992 -1.801 2.310
ATOMIC_POSITIONS angstrom
P 0.821 -2.550 -1.280
In -1.978 -2.064 -0.599
P 0.000 0.000 0.000
Mg 0.806 -2.287 1.628
! Energy of formation from the pure elements, kJ per mole of atoms: 11.6
! E, eV per atom: -3.6677
! Crystal system: orthorhombic



! MgInP PBE optimized geometry; values from VASP
&SYSTEM
  ibrav = 0, nat = 6, ntyp = 3
/
ATOMIC_SPECIES
P 30.97 P.upf
Mg 24.30 Mg.upf
In 114.82 In.upf
CELL_PARAMETERS angstrom
4.237 0.000 0.000
2.118 3.669 0.000
2.118 1.223 9.394
ATOMIC_POSITIONS angstrom
P 2.118 1.223 1.715
P 6.355 3.669 7.679
Mg 4.237 2.446 0.962
In 2.118 1.223 5.892
Mg 4.237 2.446 8.432
In 6.355 3.669 3.502
! Excess energy over the best structure of this formula in the dataset, meV per atom: 0
! Energy of formation from the pure elements, kJ per mole of atoms: -28.8
! E, eV per atom: -3.5457
! Crystal system: trigonal



! MgInP PBE optimized geometry; values from VASP
&SYSTEM
  ibrav = 0, nat = 3, ntyp = 3
/
ATOMIC_SPECIES
P 30.97 P.upf
In 114.82 In.upf
Mg 24.30 Mg.upf
CELL_PARAMETERS angstrom
-4.430 1.151 1.072
-2.612 -2.896 2.625
-1.118 1.189 4.409
ATOMIC_POSITIONS angstrom
P -2.040 -0.139 2.027
In 0.000 0.000 0.000
Mg -4.080 -0.278 4.053
! Excess energy over the best structure of this formula in the dataset, meV per atom: 287
! Energy of formation from the pure elements, kJ per mole of atoms: -1.1
! E, eV per atom: -3.2590
! Crystal system: cubic



! Mg2InP PBE optimized geometry; values from VASP
&SYSTEM
  ibrav = 0, nat = 4, ntyp = 3
/
ATOMIC_SPECIES
Mg 24.30 Mg.upf
P 30.97 P.upf
In 114.82 In.upf
CELL_PARAMETERS angstrom
-0.801 2.505 -6.946
-3.345 -0.747 3.029
-1.493 3.566 -0.660
ATOMIC_POSITIONS angstrom
Mg -1.147 3.035 -3.803
P -2.419 1.409 1.184
In -2.073 0.879 -1.959
Mg 0.000 0.000 0.000
! Energy of formation from the pure elements, kJ per mole of atoms: -7.2
! E, eV per atom: -2.9088
! Crystal system: monoclinic



! MgInP PBE optimized geometry; values from VASP
&SYSTEM
  ibrav = 0, nat = 3, ntyp = 3
/
ATOMIC_SPECIES
Mg 24.30 Mg.upf
P 30.97 P.upf
In 114.82 In.upf
CELL_PARAMETERS angstrom
-0.372 -3.465 1.838
2.899 0.542 -2.613
3.067 1.658 3.746
ATOMIC_POSITIONS angstrom
Mg 2.540 -1.144 2.580
P 2.882 -0.213 0.183
In 0.171 0.092 0.208
! Excess energy over the best structure of this formula in the dataset, meV per atom: 76
! Energy of formation from the pure elements, kJ per mole of atoms: -21.4
! E, eV per atom: -3.4693
! Crystal system: trigonal



! MgInP3 PBE optimized geometry; values from VASP
&SYSTEM
  ibrav = 0, nat = 5, ntyp = 3
/
ATOMIC_SPECIES
P 30.97 P.upf
In 114.82 In.upf
Mg 24.30 Mg.upf
CELL_PARAMETERS angstrom
4.841 0.000 0.000
0.000 4.841 0.000
0.000 0.000 4.841
ATOMIC_POSITIONS angstrom
P 0.000 0.000 2.420
P 2.420 0.000 0.000
P 0.000 2.420 0.000
In 2.420 2.420 2.420
Mg 0.000 0.000 0.000
! Excess energy over the best structure of this formula in the dataset, meV per atom: 0
! Energy of formation from the pure elements, kJ per mole of atoms: 77.6
! E, eV per atom: -3.3082
! Crystal system: cubic



! Mg2InP2Pd5 PBE optimized geometry; values from VASP
&SYSTEM
  ibrav = 0, nat = 20, ntyp = 4
/
ATOMIC_SPECIES
Pd 106.42 Pd.upf
P 30.97 P.upf
Mg 24.30 Mg.upf
In 114.82 In.upf
CELL_PARAMETERS angstrom
-3.061 0.358 -1.913
2.796 -7.030 -5.791
-4.279 -6.362 5.656
ATOMIC_POSITIONS angstrom
Pd -4.701 -5.409 3.072
P -1.982 -9.961 1.306
Pd -3.261 -11.254 -0.329
P -2.328 -4.882 2.811
Mg -2.627 -7.586 2.783
Mg -0.930 -3.295 0.870
Pd -0.132 -3.336 -3.852
In 0.000 0.000 0.000
Mg 1.145 -5.805 -2.919
Pd 0.158 -7.624 -5.119
P 0.499 -3.430 -1.441
P 0.845 -8.509 -2.946
Pd -1.356 -7.481 -2.670
Pd -1.283 -1.779 -1.719
Pd -2.943 -8.388 -0.300
Pd -3.670 -3.002 1.872
Pd -1.600 -4.645 -1.748
Pd -3.187 -5.552 0.622
Mg -0.553 -10.096 -1.006
In -0.741 -6.696 -0.068
! Energy of formation from the pure elements, kJ per mole of atoms: -51.5
! E, eV per atom: -4.8054
! Crystal system: tetragonal



! Mg2In2PPd4 PBE optimized geometry; values from VASP
&SYSTEM
  ibrav = 0, nat = 9, ntyp = 4
/
ATOMIC_SPECIES
Pd 106.42 Pd.upf
In 114.82 In.upf
P 30.97 P.upf
Mg 24.30 Mg.upf
CELL_PARAMETERS angstrom
6.024 0.114 0.164
-2.792 5.339 -0.164
-2.792 -2.029 4.941
ATOMIC_POSITIONS angstrom
Pd -2.792 3.421 1.165
In 0.220 -0.130 3.747
P 0.000 0.000 0.000
Mg -1.685 0.999 1.441
Pd -1.242 2.503 3.612
Mg -3.899 2.311 3.335
In 0.220 3.554 1.194
Pd -2.792 -0.112 3.612
Pd 1.682 0.921 1.329
! Energy of formation from the pure elements, kJ per mole of atoms: -42.7
! E, eV per atom: -4.3142
! Crystal system: tetragonal



! MgInP2Pt PBE optimized geometry; values from VASP
&SYSTEM
  ibrav = 0, nat = 5, ntyp = 4
/
ATOMIC_SPECIES
Pt 195.08 Pt.upf
Mg 24.30 Mg.upf
P 30.97 P.upf
In 114.82 In.upf
CELL_PARAMETERS angstrom
-4.402 0.465 -1.693
0.173 -4.978 -1.815
-1.749 -1.562 4.118
ATOMIC_POSITIONS angstrom
Pt 0.000 0.000 0.000
Mg -2.989 -3.038 0.305
P -0.874 -0.781 2.059
P -2.201 0.232 -0.846
In 0.086 -2.489 -0.908
! Energy of formation from the pure elements, kJ per mole of atoms: 38.3
! E, eV per atom: -3.8413
! Crystal system: tetragonal



! MgInReP2 PBE optimized geometry; values from VASP
&SYSTEM
  ibrav = 0, nat = 5, ntyp = 4
/
ATOMIC_SPECIES
P 30.97 P.upf
Re 186.21 Re.upf
Mg 24.30 Mg.upf
In 114.82 In.upf
CELL_PARAMETERS angstrom
4.713 0.000 0.000
0.000 5.180 0.000
0.000 0.000 4.713
ATOMIC_POSITIONS angstrom
P 2.356 0.000 0.000
Re 2.356 2.590 2.356
P 0.000 0.000 2.356
Mg 0.000 0.000 0.000
In 0.000 2.590 0.000
! Energy of formation from the pure elements, kJ per mole of atoms: 157.2
! E, eV per atom: -3.8908
! Crystal system: tetragonal



! MgInP2S PBE optimized geometry; values from VASP
&SYSTEM
  ibrav = 0, nat = 5, ntyp = 4
/
ATOMIC_SPECIES
Mg 24.30 Mg.upf
S 32.06 S.upf
P 30.97 P.upf
In 114.82 In.upf
CELL_PARAMETERS angstrom
-0.879 -2.707 -4.027
4.810 -1.028 -0.359
-0.618 -3.840 2.716
ATOMIC_POSITIONS angstrom
Mg 0.000 0.000 0.000
S -0.309 -1.920 1.358
P 2.405 -0.514 -0.180
In 1.656 -3.788 -0.835
P -0.440 -1.354 -2.014
! Excess energy over the best structure of this formula in the dataset, meV per atom: 0
! Formation energy without anion corrections, eV/atom: 0.5677
! E, eV per atom: -3.2883
! Crystal system: tetragonal



! MgInPS2 PBE optimized geometry; values from VASP
&SYSTEM
  ibrav = 0, nat = 5, ntyp = 4
/
ATOMIC_SPECIES
P 30.97 P.upf
In 114.82 In.upf
S 32.06 S.upf
Mg 24.30 Mg.upf
CELL_PARAMETERS angstrom
4.782 0.000 0.000
0.000 4.782 0.000
0.000 0.000 5.077
ATOMIC_POSITIONS angstrom
P 0.000 0.000 2.538
In 2.391 2.391 2.538
S 0.000 2.391 0.000
Mg 0.000 0.000 0.000
S 2.391 0.000 0.000
! Excess energy over the best structure of this formula in the dataset, meV per atom: 0
! Formation energy without anion corrections, eV/atom: 0.2997
! E, eV per atom: -3.2998
! Crystal system: tetragonal



! MgInP2S PBE optimized geometry; values from VASP
&SYSTEM
  ibrav = 0, nat = 5, ntyp = 4
/
ATOMIC_SPECIES
Mg 24.30 Mg.upf
S 32.06 S.upf
P 30.97 P.upf
In 114.82 In.upf
CELL_PARAMETERS angstrom
5.032 0.000 0.000
0.000 5.032 0.000
0.000 0.000 5.133
ATOMIC_POSITIONS angstrom
Mg 2.516 2.516 2.566
S 0.000 0.000 2.566
P 2.516 0.000 0.000
P 0.000 2.516 0.000
In 0.000 0.000 0.000
! Excess energy over the best structure of this formula in the dataset, meV per atom: 188
! Formation energy without anion corrections, eV/atom: 0.7555
! E, eV per atom: -3.1005
! Crystal system: tetragonal



! MgIn2SbP PBE optimized geometry; values from VASP
&SYSTEM
  ibrav = 0, nat = 5, ntyp = 4
/
ATOMIC_SPECIES
Mg 24.30 Mg.upf
In 114.82 In.upf
P 30.97 P.upf
Sb 121.76 Sb.upf
CELL_PARAMETERS angstrom
5.829 0.000 0.000
0.000 5.090 0.000
0.000 0.000 5.829
ATOMIC_POSITIONS angstrom
Mg 2.914 2.545 2.914
In 2.914 0.000 0.000
P 0.000 2.545 0.000
Sb 0.000 0.000 0.000
In 0.000 0.000 2.914
! Formation energy without anion corrections, eV/atom: 0.6182
! E, eV per atom: -2.7025
! Crystal system: tetragonal



! MgSc2InP PBE optimized geometry; values from VASP
&SYSTEM
  ibrav = 0, nat = 5, ntyp = 4
/
ATOMIC_SPECIES
Sc 44.96 Sc.upf
In 114.82 In.upf
Mg 24.30 Mg.upf
P 30.97 P.upf
CELL_PARAMETERS angstrom
-3.080 -3.585 -1.416
3.738 -3.220 0.021
-0.912 -1.029 4.589
ATOMIC_POSITIONS angstrom
Sc 1.869 -1.610 0.011
In -0.127 -3.917 1.597
Sc -1.540 -1.792 -0.708
Mg -0.456 -0.514 2.294
P 0.000 0.000 0.000
! Energy of formation from the pure elements, kJ per mole of atoms: -52.4
! E, eV per atom: -5.0244
! Crystal system: tetragonal



! MgInSiP2 PBE optimized geometry; values from VASP
&SYSTEM
  ibrav = 0, nat = 5, ntyp = 4
/
ATOMIC_SPECIES
P 30.97 P.upf
Mg 24.30 Mg.upf
In 114.82 In.upf
Si 28.09 Si.upf
CELL_PARAMETERS angstrom
-3.542 -0.716 2.957
0.332 -4.951 -0.801
3.026 -0.369 3.536
ATOMIC_POSITIONS angstrom
P 1.513 -0.185 1.768
Mg 0.166 -2.475 -0.401
In -0.091 -3.018 2.846
P -1.771 -0.358 1.478
Si 0.000 0.000 0.000
! Formation energy without anion corrections, eV/atom: 0.4580
! E, eV per atom: -3.6571
! Crystal system: tetragonal



! MgTi2InP PBE optimized geometry; values from VASP
&SYSTEM
  ibrav = 0, nat = 5, ntyp = 4
/
ATOMIC_SPECIES
Ti 47.87 Ti.upf
In 114.82 In.upf
Mg 24.30 Mg.upf
P 30.97 P.upf
CELL_PARAMETERS angstrom
4.621 0.000 0.000
0.000 4.721 0.000
0.000 0.000 4.621
ATOMIC_POSITIONS angstrom
Ti 2.310 0.000 0.000
In 2.310 2.361 2.310
Ti 0.000 0.000 2.310
Mg 0.000 2.361 0.000
P 0.000 0.000 0.000
! Energy of formation from the pure elements, kJ per mole of atoms: -23.3
! E, eV per atom: -5.3483
! Crystal system: tetragonal



! MgZn2InP PBE optimized geometry; values from VASP
&SYSTEM
  ibrav = 0, nat = 5, ntyp = 4
/
ATOMIC_SPECIES
In 114.82 In.upf
Zn 65.41 Zn.upf
Mg 24.30 Mg.upf
P 30.97 P.upf
CELL_PARAMETERS angstrom
-1.304 4.327 1.417
-5.158 -1.388 -0.505
-0.040 -1.485 4.497
ATOMIC_POSITIONS angstrom
In -2.579 -0.694 -0.252
Zn -0.652 2.164 0.709
Mg -3.251 0.727 2.705
Zn -0.020 -0.742 2.249
P 0.000 0.000 0.000
! Energy of formation from the pure elements, kJ per mole of atoms: 28.4
! E, eV per atom: -2.1638
! Crystal system: tetragonal



! MgPaIn2 PBE optimized geometry; values from VASP
&SYSTEM
  ibrav = 0, nat = 4, ntyp = 3
/
ATOMIC_SPECIES
Pa 231.04 Pa.upf
Mg 24.30 Mg.upf
In 114.82 In.upf
CELL_PARAMETERS angstrom
5.192 0.000 0.000
2.596 4.497 0.000
2.596 1.499 4.239
ATOMIC_POSITIONS angstrom
Pa 0.000 0.000 0.000
Mg 5.192 2.998 2.120
In 7.788 4.497 3.180
In 2.596 1.499 1.060
! Excess energy over the best structure of this formula in the dataset, meV per atom: 97
! Energy of formation from the pure elements, kJ per mole of atoms: 4.4
! E, eV per atom: -4.0959
! Crystal system: cubic



! MgPaIn2 PBE optimized geometry; values from VASP
&SYSTEM
  ibrav = 0, nat = 4, ntyp = 3
/
ATOMIC_SPECIES
In 114.82 In.upf
Mg 24.30 Mg.upf
Pa 231.04 Pa.upf
CELL_PARAMETERS angstrom
-2.483 1.247 -3.535
0.024 -4.417 -1.575
-3.910 -0.888 2.433
ATOMIC_POSITIONS angstrom
In -1.955 -0.444 1.216
Mg -3.184 -2.029 -1.339
Pa -1.241 0.623 -1.768
In 0.012 -2.209 -0.787
! Excess energy over the best structure of this formula in the dataset, meV per atom: 0
! Energy of formation from the pure elements, kJ per mole of atoms: -4.9
! E, eV per atom: -4.1927
! Crystal system: tetragonal



Calculated values (g/cm3) of ρ for the records, taken in order: 4.443, 3.868, 3.844, 3.937, 4.106, 3.397, 7.641, 7.538, 5.524, 5.590, 3.355, 3.351, 2.978, 3.905, 3.703, 3.473, 4.379, 4.152, 8.137, 8.143.